SrCoBr: optimized geometry, PBE.

## Properties
Theoretical density ... 4.68 g cm⁻³
Total energy ... -3.489 eV per atom
Fermi-level density of states ... 0.42 states/eV/cell
Space-group type ... P3m1 (156)
Formation energy from raw total energies ... -0.003 eV/atom
Crystal system ... trigonal

Unit cell a=4.055 b=4.055 c=5.638 alpha=90.00 beta=90.00 gamma=120.00
Atoms (fractional coordinates):
Br: 0.000 0.000 0.061
Co: 0.333 0.667 0.271
Sr: 0.667 0.333 0.668

SrLiMg2Ni: optimized geometry, PBE.

## Properties
Theoretical density ... 2.71 g cm⁻³
Total energy ... -2.514 eV per atom
Fermi-level density of states ... 2.29 states/eV/cell
Formation energy from the elements ... 0.00 eV per atom
Space-group type ... P4/mmm (123)
Crystal system ... tetragonal

Unit cell a=4.958 b=4.958 c=5.023 alpha=90.00 beta=90.00 gamma=90.00
Atoms (fractional coordinates):
Sr: 0.500 0.500 0.500
Mg: 0.000 0.500 0.000
Mg: 0.500 0.000 0.000
Li: 0.000 0.000 0.500
Ni: 0.000 0.000 0.000

CsPmAs2: optimized geometry, PBE.

## Properties
Theoretical density ... 6.07 g cm⁻³
Total energy ... -3.923 eV per atom
Fermi-level density of states ... 2.29 states/eV/cell
Formation energy from the elements ... -0.20 eV per atom
Space-group type ... P4/mmm (123)
Crystal system ... tetragonal

Unit cell a=4.245 b=5.249 c=5.249 alpha=90.00 beta=90.00 gamma=90.00
Atoms (fractional coordinates):
Cs: 0.500 0.500 0.500
As: 0.000 0.000 0.500
As: 0.000 0.500 0.000
Pm: 0.500 0.000 0.000

Li2CaCd: optimized geometry, PBE.

## Properties
Theoretical density ... 2.72 g cm⁻³
Total energy ... -1.786 eV per atom
Fermi-level density of states ... 3.04 states/eV/cell
Formation energy from the elements ... -0.10 eV per atom
Space-group type ... Pmmm (47)
Crystal system ... orthorhombic

Unit cell a=4.354 b=4.769 c=4.885 alpha=90.00 beta=90.00 gamma=90.00
Atoms (fractional coordinates):
Ca: 0.500 0.000 0.500
Li: 0.000 0.000 0.000
Li: 0.500 0.500 0.000
Cd: 0.000 0.500 0.500